1.
The following is a DFT calculation (PBE) of crystalline LiAcGaSi at its relaxed geometry.

The value obtained for the density of states at the Fermi level is 2.8 states/eV/f.u. Its magnetic moment is 0.0 μB per formula unit. The final energy is -3.85 eV/atom. Its volume is 24.008 Å³/atom.

It has space group F-43m (No. 216), with a = 7.269 Å, b = 7.269 Å, c = 7.269 Å, α = 90.00°, β = 90.00° and γ = 90.00°. The asymmetric unit holds Li at (0.000, 0.000, 0.000), Ac at (0.000, 0.000, 0.500), Ga at (0.250, 0.250, 0.750) and Si at (0.250, 0.250, 0.250).

---

2.
The following is a DFT calculation (PBE) of crystalline K2RePt at its relaxed geometry.

The value obtained for the density of states at the Fermi level is 3.7 states/eV/f.u. Its magnetic moment is 0.2 μB per formula unit. Its volume is 31.386 Å³/atom. For the calculated formation energy, the calculation gives 587 meV per atom.

It has space group Immm (No. 71), with a = 2.807 Å, b = 4.470 Å, c = 20.012 Å, α = 90.00°, β = 90.00° and γ = 90.00°. The asymmetric unit holds K at (0.000, 0.000, 0.143), Re at (0.000, 0.500, 0.000) and Pt at (0.000, 0.500, 0.500).

---

3.
The following is a DFT calculation (PBE) of crystalline Li14ZnSi at its relaxed geometry.

The value obtained for the density of states at the Fermi level is 6.4 states/eV/f.u. Its magnetic moment is 0.0 μB per formula unit. The final energy is -2.15 eV/atom. Its volume is 17.564 Å³/atom.

It has space group P4/mmm (No. 123), with a = 6.605 Å, b = 6.605 Å, c = 6.442 Å, α = 90.00°, β = 90.00° and γ = 90.00°. The asymmetric unit holds Li at (0.000, 0.000, 0.000), Li at (0.000, 0.500, 0.000), Li at (0.000, 0.500, 0.500), Li at (0.241, 0.241, 0.278), Li at (0.500, 0.500, 0.000), Zn at (0.500, 0.500, 0.500) and Si at (0.000, 0.000, 0.500).

---

4.
The following is a DFT calculation (PBE) of crystalline Ce4P5Au at its relaxed geometry.

The value obtained for the density of states at the Fermi level is 13.0 states/eV/f.u. Its magnetic moment is 1.4 μB per formula unit. Its volume is 22.783 Å³/atom. For the calculated formation energy, the calculation gives -1126 meV per atom.

It has space group R-3m (No. 166, hexagonal axes), with a = 4.1439 Å, b = 4.1439 Å, c = 45.9602 Å, α = 90.00°, β = 90.00° and γ = 120.00°. The asymmetric unit holds Ce at (0.0000, 0.0000, 0.1090), Ce at (0.0000, 0.0000, 0.2976), P at (0.0000, 0.0000, 0.0000), P at (0.0000, 0.0000, 0.1947), P at (0.0000, 0.0000, 0.4052) and Au at (0.0000, 0.0000, 0.5000).

---

5.
The following is a DFT calculation (PBE) of crystalline CuBI4 at its relaxed geometry.

The value obtained for the density of states at the Fermi level is 3.0 states/eV/f.u. Its magnetic moment is 0.0 μB per formula unit. The final energy is -2.41 eV/atom. Its volume is 45.524 Å³/atom.

It has space group P4_2/mmc (No. 131), with a = 7.453 Å, b = 7.453 Å, c = 9.836 Å, α = 90.00°, β = 90.00° and γ = 90.00°. The asymmetric unit holds Cu at (0.000, 0.000, 0.000), B at (0.000, 0.500, 0.000) and I at (0.232, 0.270, 0.000).

---

6.
The following is a DFT calculation (PBE) of crystalline Sm4TeSe2S at its relaxed geometry.

The value obtained for the density of states at the Fermi level is 3.1 states/eV/f.u. Its magnetic moment is 0.0 μB per formula unit. The final energy is -5.88 eV/atom. Its volume is 26.446 Å³/atom.

It has space group P2/m (No. 10), with a = 7.300 Å, b = 4.177 Å, c = 7.345 Å, α = 90.00°, β = 109.16° and γ = 90.00°. The asymmetric unit holds Sm at (0.240, 0.000, 0.221), Sm at (0.259, 0.500, 0.782), Te at (0.000, 0.000, 0.500), Se at (0.500, 0.000, 0.000), Se at (0.500, 0.500, 0.500) and S at (0.000, 0.500, 0.000).

---

7.
The following is a DFT calculation (PBE) of crystalline LiSm2GeO6 at its relaxed geometry.

The value obtained for the density of states at the Fermi level is 6.0 states/eV/f.u. Its magnetic moment is 1.1 μB per formula unit. The final energy is -7.07 eV/atom. Its volume is 11.728 Å³/atom.

It has space group P2_1/c (No. 14), with a = 5.378 Å, b = 5.737 Å, c = 9.192 Å, α = 90.00°, β = 124.20° and γ = 90.00°. The asymmetric unit holds Li at (0.000, 0.000, 0.000), Sm at (0.226, 0.073, 0.747), Ge at (0.500, 0.000, 0.500), O at (0.163, 0.182, 0.453), O at (0.267, 0.717, 0.446) and O at (0.359, 0.030, 0.260).

---

8.
The following is a DFT calculation (PBE) of crystalline SrGeMo3 at its relaxed geometry.

The value obtained for the density of states at the Fermi level is 9.8 states/eV/f.u. Its magnetic moment is 2.0 μB per formula unit. Its volume is 22.591 Å³/atom. For the calculated formation energy, the calculation gives 3058 meV per atom.

It has space group Pm-3m (No. 221), with a = 4.834 Å, b = 4.834 Å, c = 4.834 Å, α = 90.00°, β = 90.00° and γ = 90.00°. The asymmetric unit holds Sr at (0.000, 0.000, 0.000), Ge at (0.500, 0.500, 0.500) and Mo at (0.000, 0.000, 0.500).